DFT (PBE with a Hubbard U) results for a relaxed BiMo2O8 crystal.

Values from the calculation:
**Polymorph energy (0 for the lowest one)**: 0.302 eV/atom
**Density of states at the Fermi level**: 0.407 states/eV per atom
**Calculated total energy**: -135.39 eV per cell

Unit cell a=4.8775 b=4.8775 c=11.3681 alpha=90.00 beta=90.00 gamma=90.00
Closest atoms and distances in Å follow each position.
Space group I422 (No. 97)
Inequivalent atoms, fractional coordinates:
Bi  0.0000  0.0000  0.0000 x2  8 O 2.40
Mo  0.0000  0.5000  0.2500 x4  8 O 2.01-2.16
O  0.2365  0.2633  0.8530 x16  2 Mo 2.01-2.16


DFT (PBE with a Hubbard U) results for a relaxed Bi6MoO12 crystal.

Values from the calculation:
**Density of states at the Fermi level**: 0.000 states/eV per atom
**Calculated total energy**: -345.35 eV per cell

Unit cell a=10.4040 b=10.4040 c=9.4854 alpha=90.00 beta=90.00 gamma=120.00
Closest atoms and distances in Å follow each position.
Space group R-3 (No. 148, hexagonal axes)
Inequivalent atoms, fractional coordinates:
Bi  0.0455  0.8011  0.1558 x18  3 O 2.23-2.28
Mo  0.0000  0.0000  0.5000 x3  6 O 1.96
O  0.0376  0.8655  0.3846 x18  1 Mo 1.96
O  0.0393  0.8314  0.8913 x18  2 Bi 2.23-2.24


DFT (PBE with a Hubbard U) results for a relaxed Bi2MoO6 crystal.

Values from the calculation:
**Calculated total energy**: -229.39 eV per cell

Unit cell a=5.4443 b=5.4611 c=17.1554 alpha=90.00 beta=90.00 gamma=90.00
Closest atoms and distances in Å follow each position.
Space group Pbca (No. 61)
Inequivalent atoms, fractional coordinates:
Bi  0.0226  0.0948  0.1739 x8  5 O 2.23-2.49
Mo  0.0000  0.0000  0.5000 x4  6 O 1.91-2.00
O  0.0854  0.5024  0.1077 x8  1 Mo 1.91
O  0.2197  0.7275  0.4793 x8  2 Mo 1.94-2.00
O  0.2408  0.6756  0.7506 x8  4 Bi 2.23-2.49


DFT (PBE with a Hubbard U) results for a relaxed BiMoO4 crystal.

Values from the calculation:
**Polymorph energy (0 for the lowest one)**: 0.026 eV/atom
**Calculated total energy**: -79.19 eV per cell

Unit cell a=5.3296 b=5.4052 c=5.7129 alpha=90.00 beta=90.00 gamma=90.00
Closest atoms and distances in Å follow each position.
Space group Pnc2 (No. 30)
Inequivalent atoms, fractional coordinates:
Bi  0.0000  0.0000  0.0000 x2  6 O 2.32-2.44
Mo  0.5000  0.0000  0.4170 x2  4 O 1.88-1.97
O  0.2058  0.1644  0.3225 x4  1 Mo 1.88
O  0.3365  0.7315  0.1366 x4  1 Mo 1.97


no.,spin magnetization (μB/cell)
1,0.00
2,0.00
3,0.00
4,2.00